The following is a DFT calculation (GGA-PBE) of a relaxed BaYHgPb crystal.

Cell: 5.6905 5.6905 5.6905 Å, 60.00 60.00 60.00°
Sites, in units of the cell vectors:
Y1 0.7500 0.7500 0.7500
Ba1 0.2500 0.2500 0.2500
Hg1 0.5000 0.5000 0.5000
Pb1 0.0000 0.0000 0.0000

Values from the calculation:
* E_form: -0.405 eV per atom
* E_tot: -3.50 eV/atom
* D(E_F): 0.97 states/eV/atom
* V: 130 Å³/cell